(1)
The following is a meta-GGA SCAN calculation of SmB4 at its PBEsol-relaxed geometry, from Alexandria via LeMat-Bulk.

Computed properties:
Formation enthalpy at 0 K = -63.41 kJ per mole of atoms
Final energy = -309.78 eV for the cell shown

a = 7.1402 Å, b = 7.1402 Å, c = 4.0473 Å
α = 90.00°, β = 90.00°, γ = 90.00°
Sites, in units of the cell vectors:
Sm: 0.1837 0.3163 0.0000
Sm: 0.3163 0.8163 0.0000
Sm: 0.6837 0.1837 0.0000
Sm: 0.8163 0.6837 0.0000
B: 0.0000 0.0000 0.2040
B: 0.0000 0.0000 0.7960
B: 0.0389 0.8248 0.5000
B: 0.0874 0.5874 0.5000
B: 0.1752 0.0389 0.5000
B: 0.3248 0.5389 0.5000
B: 0.4126 0.0874 0.5000
B: 0.4611 0.3248 0.5000
B: 0.5000 0.5000 0.2040
B: 0.5000 0.5000 0.7960
B: 0.5389 0.6752 0.5000
B: 0.5874 0.9126 0.5000
B: 0.6752 0.4611 0.5000
B: 0.8248 0.9611 0.5000
B: 0.9126 0.4126 0.5000
B: 0.9611 0.1752 0.5000



(2)
The following is a meta-GGA SCAN calculation of SrSmB12 at its PBEsol-relaxed geometry, from Alexandria via LeMat-Bulk.

Computed properties:
Formation enthalpy at 0 K = -51.74 kJ per mole of atoms
Final energy = -163.38 eV for the cell shown

a = 4.1286 Å, b = 4.1286 Å, c = 8.2729 Å
α = 90.00°, β = 90.00°, γ = 90.00°
Sites, in units of the cell vectors:
Sr: 0.0000 0.0000 0.0000
Sm: 0.0000 0.0000 0.5000
B: 0.2007 0.5000 0.2526
B: 0.2007 0.5000 0.7474
B: 0.5000 0.2007 0.2526
B: 0.5000 0.2007 0.7474
B: 0.5000 0.5000 0.1018
B: 0.5000 0.5000 0.4010
B: 0.5000 0.5000 0.5990
B: 0.5000 0.5000 0.8982
B: 0.5000 0.7993 0.2526
B: 0.5000 0.7993 0.7474
B: 0.7993 0.5000 0.2526
B: 0.7993 0.5000 0.7474



(3)
The following is a meta-GGA SCAN calculation of SnB3Te at its PBEsol-relaxed geometry, from Alexandria via LeMat-Bulk.

Computed properties:
Formation energy (no corrections) = 2.11 eV/atom
Final energy = -84.89 eV for the cell shown

a = 4.4364 Å, b = 4.4364 Å, c = 4.4364 Å
α = 90.00°, β = 90.00°, γ = 90.00°
Sites, in units of the cell vectors:
Sn: 0.0000 0.0000 0.0000
B: 0.0000 0.5000 0.5000
B: 0.5000 0.0000 0.5000
B: 0.5000 0.5000 0.0000
Te: 0.5000 0.5000 0.5000



(4)
The following is a meta-GGA SCAN calculation of SnBTe2 at its PBEsol-relaxed geometry, from Alexandria via LeMat-Bulk.

Computed properties:
Formation energy (no corrections) = 0.46 eV/atom
Final energy = -232.06 eV for the cell shown

a = 6.4776 Å, b = 6.4776 Å, c = 6.4776 Å
α = 115.46°, β = 115.46°, γ = 98.07°
Sites, in units of the cell vectors:
Sn: 0.0000 0.0000 0.0000
Sn: 0.7500 0.2500 0.5000
B: 0.2500 0.7500 0.5000
B: 0.5000 0.5000 0.0000
Te: 0.2207 0.1250 0.5957
Te: 0.3750 0.7793 0.9043
Te: 0.5293 0.6250 0.4043
Te: 0.8750 0.4707 0.0957



(5)
The following is a meta-GGA SCAN calculation of TiSnB3 at its PBEsol-relaxed geometry, from Alexandria via LeMat-Bulk.

Computed properties:
Formation enthalpy at 0 K = 213.63 kJ per mole of atoms
Final energy = -63.17 eV for the cell shown

a = 4.3100 Å, b = 4.3100 Å, c = 4.3100 Å
α = 90.00°, β = 90.00°, γ = 90.00°
Sites, in units of the cell vectors:
Ti: 0.0000 0.0000 0.0000
Sn: 0.5000 0.5000 0.5000
B: 0.0000 0.5000 0.5000
B: 0.5000 0.0000 0.5000
B: 0.5000 0.5000 0.0000



(6)
The following is a meta-GGA SCAN calculation of SnBW2 at its PBEsol-relaxed geometry, from Alexandria via LeMat-Bulk.

Computed properties:
Formation enthalpy at 0 K = 119.62 kJ per mole of atoms
Final energy = -177.77 eV for the cell shown

a = 4.3580 Å, b = 4.3580 Å, c = 4.3580 Å
α = 60.00°, β = 60.00°, γ = 60.00°
Sites, in units of the cell vectors:
Sn: 0.0000 0.0000 0.0000
B: 0.5000 0.5000 0.5000
W: 0.2500 0.2500 0.2500
W: 0.7500 0.7500 0.7500



(7)
The following is a meta-GGA SCAN calculation of ZnSn3B at its PBEsol-relaxed geometry, from Alexandria via LeMat-Bulk.

Computed properties:
Formation enthalpy at 0 K = 78.12 kJ per mole of atoms
Final energy = -124.66 eV for the cell shown

a = 4.7691 Å, b = 4.7691 Å, c = 4.7691 Å
α = 90.00°, β = 90.00°, γ = 90.00°
Sites, in units of the cell vectors:
Zn: 0.0000 0.0000 0.0000
Sn: 0.0000 0.5000 0.5000
Sn: 0.5000 0.0000 0.5000
Sn: 0.5000 0.5000 0.0000
B: 0.5000 0.5000 0.5000



(8)
The following is a meta-GGA SCAN calculation of Zn2SnB at its PBEsol-relaxed geometry, from Alexandria via LeMat-Bulk.

Computed properties:
Formation enthalpy at 0 K = 99.69 kJ per mole of atoms
Final energy = -66.25 eV for the cell shown

a = 4.5026 Å, b = 4.5026 Å, c = 4.5026 Å
α = 60.00°, β = 60.00°, γ = 60.00°
Sites, in units of the cell vectors:
Zn: 0.2500 0.2500 0.2500
Zn: 0.7500 0.7500 0.7500
Sn: 0.0000 0.0000 0.0000
B: 0.5000 0.5000 0.5000



(9)
The following is a meta-GGA SCAN calculation of Zr5Sn3B at its PBEsol-relaxed geometry, from Alexandria via LeMat-Bulk.

Computed properties:
Formation enthalpy at 0 K = -75.97 kJ per mole of atoms
Final energy = -551.55 eV for the cell shown

a = 8.4676 Å, b = 8.4676 Å, c = 5.7608 Å
α = 90.00°, β = 90.00°, γ = 120.00°
Sites, in units of the cell vectors:
Zr: 0.0000 0.2313 0.2500
Zr: 0.0000 0.7687 0.7500
Zr: 0.2313 0.0000 0.2500
Zr: 0.2313 0.2313 0.7500
Zr: 0.3333 0.6667 0.0000
Zr: 0.3333 0.6667 0.5000
Zr: 0.6667 0.3333 0.0000
Zr: 0.6667 0.3333 0.5000
Zr: 0.7687 0.0000 0.7500
Zr: 0.7687 0.7687 0.2500
Sn: 0.0000 0.3985 0.7500
Sn: 0.0000 0.6015 0.2500
Sn: 0.3985 0.0000 0.7500
Sn: 0.3985 0.3985 0.2500
Sn: 0.6015 0.0000 0.2500
Sn: 0.6015 0.6015 0.7500
B: 0.0000 0.0000 0.0000
B: 0.0000 0.0000 0.5000



(10)
The following is a meta-GGA SCAN calculation of ZrSn3B at its PBEsol-relaxed geometry, from Alexandria via LeMat-Bulk.

Computed properties:
Formation enthalpy at 0 K = 124.96 kJ per mole of atoms
Final energy = -139.42 eV for the cell shown

a = 5.4515 Å, b = 5.4515 Å, c = 5.4515 Å
α = 90.00°, β = 90.00°, γ = 90.00°
Sites, in units of the cell vectors:
Zr: 0.0000 0.0000 0.0000
Sn: 0.0000 0.0000 0.5000
Sn: 0.0000 0.5000 0.0000
Sn: 0.5000 0.0000 0.0000
B: 0.5000 0.5000 0.5000



(11)
The following is a meta-GGA SCAN calculation of SrTa3B at its PBEsol-relaxed geometry, from Alexandria via LeMat-Bulk.

Computed properties:
Formation enthalpy at 0 K = 74.68 kJ per mole of atoms
Final energy = -225.58 eV for the cell shown

a = 4.5465 Å, b = 4.5465 Å, c = 4.5465 Å
α = 90.00°, β = 90.00°, γ = 90.00°
Sites, in units of the cell vectors:
Sr: 0.0000 0.0000 0.0000
Ta: 0.0000 0.5000 0.5000
Ta: 0.5000 0.0000 0.5000
Ta: 0.5000 0.5000 0.0000
B: 0.5000 0.5000 0.5000



(12)
The following is a meta-GGA SCAN calculation of SrTaTi2B at its PBEsol-relaxed geometry, from Alexandria via LeMat-Bulk.

Computed properties:
Formation enthalpy at 0 K = 92.32 kJ per mole of atoms
Final energy = -123.56 eV for the cell shown

a = 4.8091 Å, b = 4.8091 Å, c = 4.6367 Å
α = 90.00°, β = 90.00°, γ = 90.00°
Sites, in units of the cell vectors:
Sr: 0.0000 0.0000 0.0000
Ta: 0.5000 0.5000 0.5000
Ti: 0.0000 0.5000 0.5000
Ti: 0.5000 0.0000 0.5000
B: 0.5000 0.5000 0.0000



(13)
The following is a meta-GGA SCAN calculation of SrTi2B at its PBEsol-relaxed geometry, from Alexandria via LeMat-Bulk.

Computed properties:
Formation enthalpy at 0 K = 51.62 kJ per mole of atoms
Final energy = -119.25 eV for the cell shown

a = 6.6183 Å, b = 6.6183 Å, c = 6.6183 Å
α = 60.00°, β = 60.00°, γ = 60.00°
Sites, in units of the cell vectors:
Sr: 0.1250 0.1250 0.1250
Sr: 0.8750 0.8750 0.8750
Ti: 0.0000 0.5000 0.5000
Ti: 0.5000 0.0000 0.5000
Ti: 0.5000 0.5000 0.0000
Ti: 0.5000 0.5000 0.5000
B: 0.3750 0.3750 0.3750
B: 0.6250 0.6250 0.6250



(14)
The following is a meta-GGA SCAN calculation of Sr3TiB at its PBEsol-relaxed geometry, from Alexandria via LeMat-Bulk.

Computed properties:
Formation enthalpy at 0 K = 67.06 kJ per mole of atoms
Final energy = -86.81 eV for the cell shown

a = 5.5965 Å, b = 5.5965 Å, c = 5.5965 Å
α = 90.00°, β = 90.00°, γ = 90.00°
Sites, in units of the cell vectors:
Sr: 0.0000 0.0000 0.5000
Sr: 0.0000 0.5000 0.0000
Sr: 0.5000 0.0000 0.0000
Ti: 0.5000 0.5000 0.5000
B: 0.0000 0.0000 0.0000



(15)
The following is a meta-GGA SCAN calculation of SrTlB2 at its PBEsol-relaxed geometry, from Alexandria via LeMat-Bulk.

Computed properties:
Formation enthalpy at 0 K = 109.73 kJ per mole of atoms
Final energy = -104.94 eV for the cell shown

a = 4.6385 Å, b = 4.6385 Å, c = 4.6385 Å
α = 60.00°, β = 60.00°, γ = 60.00°
Sites, in units of the cell vectors:
Sr: 0.0000 0.0000 0.0000
Tl: 0.5000 0.5000 0.5000
B: 0.2500 0.2500 0.2500
B: 0.7500 0.7500 0.7500



(16)
The following is a meta-GGA SCAN calculation of SrZn3B at its PBEsol-relaxed geometry, from Alexandria via LeMat-Bulk.

Computed properties:
Formation enthalpy at 0 K = 27.33 kJ per mole of atoms
Final energy = -68.83 eV for the cell shown

a = 4.3934 Å, b = 4.3934 Å, c = 4.3934 Å
α = 90.00°, β = 90.00°, γ = 90.00°
Sites, in units of the cell vectors:
Sr: 0.0000 0.0000 0.0000
Zn: 0.0000 0.5000 0.5000
Zn: 0.5000 0.0000 0.5000
Zn: 0.5000 0.5000 0.0000
B: 0.5000 0.5000 0.5000



(17)
The following is a meta-GGA SCAN calculation of Ta5B6 at its PBEsol-relaxed geometry, from Alexandria via LeMat-Bulk.

Computed properties:
Formation enthalpy at 0 K = -75.50 kJ per mole of atoms
Final energy = -386.10 eV for the cell shown

a = 11.4115 Å, b = 11.4115 Å, c = 3.2749 Å
α = 90.00°, β = 90.00°, γ = 164.22°
Sites, in units of the cell vectors:
Ta: 0.0000 0.0000 0.0000
Ta: 0.1943 0.8057 0.5000
Ta: 0.3855 0.6145 0.0000
Ta: 0.6145 0.3855 0.0000
Ta: 0.8057 0.1943 0.5000
B: 0.0826 0.9174 0.5000
B: 0.2733 0.7267 0.0000
B: 0.4603 0.5397 0.5000
B: 0.5397 0.4603 0.5000
B: 0.7267 0.2733 0.0000
B: 0.9174 0.0826 0.5000



(18)
The following is a meta-GGA SCAN calculation of TaB at its PBEsol-relaxed geometry, from Alexandria via LeMat-Bulk.

Computed properties:
Formation enthalpy at 0 K = -78.52 kJ per mole of atoms
Final energy = -151.28 eV for the cell shown

a = 4.6220 Å, b = 4.6220 Å, c = 3.1450 Å
α = 90.00°, β = 90.00°, γ = 138.56°
Sites, in units of the cell vectors:
Ta: 0.1457 0.8543 0.7500
Ta: 0.8543 0.1457 0.2500
B: 0.4397 0.5603 0.7500
B: 0.5603 0.4397 0.2500



(19)
The following is a meta-GGA SCAN calculation of TaB2 at its PBEsol-relaxed geometry, from Alexandria via LeMat-Bulk.

Computed properties:
Formation enthalpy at 0 K = -60.50 kJ per mole of atoms
Final energy = -83.32 eV for the cell shown

a = 3.0889 Å, b = 3.0889 Å, c = 3.2844 Å
α = 90.00°, β = 90.00°, γ = 120.00°
Sites, in units of the cell vectors:
Ta: 0.0000 0.0000 0.0000
B: 0.3333 0.6667 0.5000
B: 0.6667 0.3333 0.5000



(20)
The following is a meta-GGA SCAN calculation of Ta3BTe at its PBEsol-relaxed geometry, from Alexandria via LeMat-Bulk.

Computed properties:
Formation energy (no corrections) = 2.89 eV/atom
Final energy = -229.96 eV for the cell shown

a = 4.9245 Å, b = 4.9245 Å, c = 4.9245 Å
α = 90.00°, β = 90.00°, γ = 90.00°
Sites, in units of the cell vectors:
Ta: 0.0000 0.0000 0.5000
Ta: 0.0000 0.5000 0.0000
Ta: 0.5000 0.0000 0.0000
B: 0.5000 0.5000 0.5000
Te: 0.0000 0.0000 0.0000